This record from Alexandria via LeMat-Bulk describes an optimized crystal structure of CeAlZn2. The functional is PBE.

Values from the calculation:
For the density, the calculation gives 6.02 g cm⁻³. The calculation puts the total energy at -12.8 eV per cell. The symmetry is P4/mmm.

Cell: 4.297 4.374 4.374 Å, 90.00 90.00 90.00°
Each line ends with the local moment (μB).
Fractional positions:
1 Zn 0.000 0.000 0.500  0.01
2 Zn 0.000 0.500 0.000  0.01
3 Al 0.500 0.000 0.000  0.01
4 Ce 0.500 0.500 0.500  0.51

***

This record from Alexandria via LeMat-Bulk describes an optimized crystal structure of CeAl6Zn12. The functional is PBE.

Values from the calculation:
For the density, the calculation gives 5.35 g cm⁻³. The calculation puts the total energy at -42.9 eV per cell. The symmetry is R-3m.

Cell: 7.172 7.172 7.172 Å, 102.55 102.55 102.55°
Each line ends with the local moment (μB).
Fractional positions:
1 Ce 0.000 0.000 0.000  0.88
2 Al 0.712 0.302 0.302  0.00
3 Al 0.302 0.302 0.712  0.00
4 Al 0.302 0.712 0.302  0.00
5 Al 0.698 0.698 0.288  0.00
6 Al 0.288 0.698 0.698  0.00
7 Al 0.698 0.288 0.698  0.00
8 Zn 0.893 0.107 0.500  0.00
9 Zn 0.873 0.629 0.629  0.00
10 Zn 0.629 0.629 0.873  0.00
11 Zn 0.371 0.127 0.371  0.00
12 Zn 0.371 0.371 0.127  0.00
13 Zn 0.127 0.371 0.371  0.00
14 Zn 0.107 0.500 0.893  0.00
15 Zn 0.500 0.893 0.107  0.00
16 Zn 0.107 0.893 0.500  0.00
17 Zn 0.893 0.500 0.107  0.00
18 Zn 0.500 0.107 0.893  0.00
19 Zn 0.629 0.873 0.629  0.00

***

This record from Alexandria via LeMat-Bulk describes an optimized crystal structure of Ce2Al3Zn4. The functional is PBE.

Values from the calculation:
For the density, the calculation gives 5.93 g cm⁻³. The calculation puts the total energy at -61.3 eV per cell. The symmetry is Cmce.

Cell: 5.815 7.790 8.234 Å, 90.00 110.68 90.00°
Each line ends with the local moment (μB).
Fractional positions:
1 Ce 0.103 0.601 0.207  0.64
2 Ce 0.897 0.399 0.793  0.64
3 Ce 0.397 0.101 0.793  0.64
4 Ce 0.603 0.899 0.207  0.64
5 Al 0.000 0.000 0.000  -0.01
6 Al 0.500 0.500 0.000  -0.01
7 Al 0.518 0.750 0.536  0.00
8 Al 0.982 0.250 0.464  0.00
9 Al 0.482 0.250 0.464  0.00
10 Al 0.018 0.750 0.536  0.00
11 Zn 0.685 0.750 0.869  0.01
12 Zn 0.815 0.250 0.131  0.01
13 Zn 0.315 0.250 0.131  0.01
14 Zn 0.185 0.750 0.869  0.01
15 Zn 0.176 0.986 0.353  0.01
16 Zn 0.824 0.014 0.647  0.01
17 Zn 0.324 0.486 0.647  0.01
18 Zn 0.676 0.514 0.353  0.01

***

This record from Alexandria via LeMat-Bulk describes an optimized crystal structure of CeZrAlZn. The functional is PBE.

Values from the calculation:
For the density, the calculation gives 6.23 g cm⁻³. The calculation puts the total energy at -20.4 eV per cell. The symmetry is F-43m.

Cell: 4.960 4.960 4.960 Å, 60.00 60.00 60.00°
Each line ends with the local moment (μB).
Fractional positions:
1 Zn 0.000 0.000 0.000  0.00
2 Zr 0.250 0.250 0.250  0.20
3 Ce 0.750 0.750 0.750  0.51
4 Al 0.500 0.500 0.500  -0.01

***

This record from Alexandria via LeMat-Bulk describes an optimized crystal structure of CeZr2Al. The functional is PBE.

Values from the calculation:
For the density, the calculation gives 6.60 g cm⁻³. The calculation puts the total energy at -27.0 eV per cell. The symmetry is Fm-3m. The excess energy over the best structure of this formula in the dataset comes out at 12.54 kJ/mol of atoms.

Cell: 4.993 4.993 4.993 Å, 60.00 60.00 60.00°
Each line ends with the local moment (μB).
Fractional positions:
1 Zr 0.250 0.250 0.250  0.08
2 Zr 0.750 0.750 0.750  0.08
3 Ce 0.000 0.000 0.000  0.20
4 Al 0.500 0.500 0.500  -0.01

***

This record from Alexandria via LeMat-Bulk describes an optimized crystal structure of CeZr2Al. The functional is PBE.

Values from the calculation:
For the density, the calculation gives 5.00 g cm⁻³. The calculation puts the total energy at -21.6 eV per cell. The symmetry is R-3m. The excess energy over the best structure of this formula in the dataset comes out at 142.61 kJ/mol of atoms.

Cell: 3.970 3.970 8.811 Å, 76.98 76.98 60.00°
Fractional positions:
1 Zr 0.112 0.112 0.664
2 Zr 0.888 0.888 0.336
3 Ce 0.500 0.500 0.500
4 Al 0.000 0.000 0.000

***

This record from Alexandria via LeMat-Bulk describes an optimized crystal structure of CeZr2Al6. The functional is PBE.

Values from the calculation:
For the density, the calculation gives 4.63 g cm⁻³. The calculation puts the total energy at -49.2 eV per cell. The symmetry is P6/mmm. The excess energy over the best structure of this formula in the dataset comes out at 0.00 kJ/mol of atoms.

Cell: 3.287 7.809 7.809 Å, 120.00 90.00 90.00°
Each line ends with the local moment (μB).
Fractional positions:
1 Ce 0.000 0.000 0.000  0.27
2 Zr 0.000 0.333 0.667  0.00
3 Zr 0.000 0.667 0.333  0.00
4 Al 0.500 0.337 0.337  0.00
5 Al 0.500 0.663 0.663  0.00
6 Al 0.500 0.000 0.663  0.00
7 Al 0.500 0.663 0.000  0.00
8 Al 0.500 0.337 0.000  0.00
9 Al 0.500 0.000 0.337  0.00

***

This record from Alexandria via LeMat-Bulk describes an optimized crystal structure of Ce2ZrAl6. The functional is PBE.

Values from the calculation:
For the density, the calculation gives 4.80 g cm⁻³. The calculation puts the total energy at -46.5 eV per cell. The symmetry is P6/mmm.

Cell: 7.928 7.928 3.387 Å, 90.00 90.00 120.00°
Each line ends with the local moment (μB).
Fractional positions:
1 Ce 0.333 0.667 0.000  0.35
2 Ce 0.667 0.333 0.000  0.35
3 Zr 0.000 0.000 0.000  0.01
4 Al 0.673 0.000 0.500  0.00
5 Al 0.000 0.673 0.500  0.00
6 Al 0.327 0.000 0.500  0.00
7 Al 0.673 0.673 0.500  0.00
8 Al 0.000 0.327 0.500  0.00
9 Al 0.327 0.327 0.500  0.00

***

This record from Alexandria via LeMat-Bulk describes an optimized crystal structure of Ce2ZrAl. The functional is PBE.

Values from the calculation:
For the density, the calculation gives 7.06 g cm⁻³. The calculation puts the total energy at -24.9 eV per cell. The symmetry is P4/mmm. The excess energy over the best structure of this formula in the dataset comes out at 0.00 kJ/mol of atoms.

Cell: 4.918 4.367 4.367 Å, 90.00 90.00 90.00°
Fractional positions:
1 Zr 0.500 0.000 0.000
2 Ce 0.000 0.000 0.500
3 Ce 0.000 0.500 0.000
4 Al 0.500 0.500 0.500

***

This record from Alexandria via LeMat-Bulk describes an optimized crystal structure of CeZr2Al. The functional is PBE.

Values from the calculation:
For the density, the calculation gives 6.51 g cm⁻³. The calculation puts the total energy at -27.5 eV per cell. The symmetry is P4/mmm. The excess energy over the best structure of this formula in the dataset comes out at 0.00 kJ/mol of atoms.

Cell: 4.230 4.591 4.591 Å, 90.00 90.00 90.00°
Fractional positions:
1 Zr 0.000 0.000 0.500
2 Zr 0.000 0.500 0.000
3 Ce 0.500 0.500 0.500
4 Al 0.500 0.000 0.000